(P)
Crystalline AgTe2SeN at its relaxed geometry. Source: Alexandria, functional PBE.

* magnetic moment: 0.0 Bohr magnetons per cell

```
data_AgTe2SeN
_cell_length_a 5.7767
_cell_length_b 5.7767
_cell_length_c 3.6407
_cell_angle_alpha 90.00
_cell_angle_beta 90.00
_cell_angle_gamma 90.00
_symmetry_space_group_name_H-M 'P 4/m m m'
_symmetry_Int_Tables_number 123
_symmetry_space_group_name_Hall '-P 4 2'
loop_
_atom_site_label
_atom_site_fract_x
_atom_site_fract_y
_atom_site_fract_z
Ag1 0.0000 0.0000 0.0000
Te1 0.0000 0.5000 0.5000
Se1 0.5000 0.5000 0.5000
N1 0.5000 0.5000 0.0000
```

(Q)
Crystalline AgTe2SeN at its relaxed geometry. Source: Alexandria, functional PBE.

* magnetic moment: 1.5 Bohr magnetons per cell

```
data_AgTe2SeN
_cell_length_a 5.5827
_cell_length_b 5.5827
_cell_length_c 3.9362
_cell_angle_alpha 90.00
_cell_angle_beta 90.00
_cell_angle_gamma 90.00
_symmetry_space_group_name_H-M 'P 4/m m m'
_symmetry_Int_Tables_number 123
_symmetry_space_group_name_Hall '-P 4 2'
loop_
_atom_site_label
_atom_site_fract_x
_atom_site_fract_y
_atom_site_fract_z
Ag1 0.0000 0.0000 0.0000
Te1 0.0000 0.5000 0.0000
Se1 0.5000 0.5000 0.5000
N1 0.0000 0.0000 0.5000
```

Structures ranked by computed energy, the most stable listed first: (P), (Q).

(P)
Crystalline TiAgSe2N at its relaxed geometry. Source: Alexandria, functional PBE.

* magnetic moment: 0.2 Bohr magnetons per cell

```
data_TiAgSe2N
_cell_length_a 5.1130
_cell_length_b 5.1130
_cell_length_c 3.8730
_cell_angle_alpha 90.00
_cell_angle_beta 90.00
_cell_angle_gamma 90.00
_symmetry_space_group_name_H-M 'P 4/m m m'
_symmetry_Int_Tables_number 123
_symmetry_space_group_name_Hall '-P 4 2'
loop_
_atom_site_label
_atom_site_fract_x
_atom_site_fract_y
_atom_site_fract_z
Ti1 0.0000 0.0000 0.0000
Ag1 0.5000 0.5000 0.5000
Se1 0.0000 0.5000 0.5000
N1 0.5000 0.5000 0.0000
```

(Q)
Crystalline TiAgSe2N at its relaxed geometry. Source: Alexandria, functional PBE.

* magnetic moment: 0.0 Bohr magnetons per cell

```
data_TiAgSe2N
_cell_length_a 5.1375
_cell_length_b 5.1375
_cell_length_c 3.7534
_cell_angle_alpha 90.00
_cell_angle_beta 90.00
_cell_angle_gamma 90.00
_symmetry_space_group_name_H-M 'P 4/m m m'
_symmetry_Int_Tables_number 123
_symmetry_space_group_name_Hall '-P 4 2'
loop_
_atom_site_label
_atom_site_fract_x
_atom_site_fract_y
_atom_site_fract_z
Ti1 0.0000 0.0000 0.0000
Ag1 0.5000 0.5000 0.5000
Se1 0.0000 0.5000 0.0000
N1 0.0000 0.0000 0.5000
```

Structures ranked by computed energy, the most stable listed first: (Q), (P).

(P)
Crystalline TiAgSeN2 at its relaxed geometry. Source: Alexandria, functional PBE.

* magnetic moment: 0.0 Bohr magnetons per cell

```
data_TiAgSeN2
_cell_length_a 4.0219
_cell_length_b 4.0219
_cell_length_c 4.9949
_cell_angle_alpha 90.00
_cell_angle_beta 90.00
_cell_angle_gamma 90.00
_symmetry_space_group_name_H-M 'P 4/m m m'
_symmetry_Int_Tables_number 123
_symmetry_space_group_name_Hall '-P 4 2'
loop_
_atom_site_label
_atom_site_fract_x
_atom_site_fract_y
_atom_site_fract_z
Ti1 0.0000 0.0000 0.0000
Ag1 0.5000 0.5000 0.5000
Se1 0.5000 0.5000 0.0000
N1 0.0000 0.5000 0.5000
```

(Q)
Crystalline TiAgSeN2 at its relaxed geometry. Source: Alexandria, functional PBE.

* magnetic moment: 0.0 Bohr magnetons per cell

```
data_TiAgSeN2
_cell_length_a 3.8586
_cell_length_b 3.8586
_cell_length_c 5.6554
_cell_angle_alpha 90.00
_cell_angle_beta 90.00
_cell_angle_gamma 90.00
_symmetry_space_group_name_H-M 'P 4/m m m'
_symmetry_Int_Tables_number 123
_symmetry_space_group_name_Hall '-P 4 2'
loop_
_atom_site_label
_atom_site_fract_x
_atom_site_fract_y
_atom_site_fract_z
Ti1 0.0000 0.0000 0.0000
Ag1 0.5000 0.5000 0.5000
Se1 0.0000 0.0000 0.5000
N1 0.0000 0.5000 0.0000
```

Structures ranked by computed energy, the most stable listed first: (Q), (P).

(P)
Crystalline TlAgSeN2 at its relaxed geometry. Source: Alexandria, functional PBE.

* magnetic moment: 3.6 Bohr magnetons per cell

```
data_TlAgSeN2
_cell_length_a 4.2562
_cell_length_b 4.2562
_cell_length_c 5.6123
_cell_angle_alpha 90.00
_cell_angle_beta 90.00
_cell_angle_gamma 90.00
_symmetry_space_group_name_H-M 'P 4/m m m'
_symmetry_Int_Tables_number 123
_symmetry_space_group_name_Hall '-P 4 2'
loop_
_atom_site_label
_atom_site_fract_x
_atom_site_fract_y
_atom_site_fract_z
Tl1 0.0000 0.0000 0.0000
Ag1 0.5000 0.5000 0.5000
Se1 0.5000 0.5000 0.0000
N1 0.0000 0.5000 0.5000
```

(Q)
Crystalline TlAgSeN2 at its relaxed geometry. Source: Alexandria, functional PBE.

* magnetic moment: 3.7 Bohr magnetons per cell

```
data_TlAgSeN2
_cell_length_a 4.3212
_cell_length_b 4.3212
_cell_length_c 5.9365
_cell_angle_alpha 90.00
_cell_angle_beta 90.00
_cell_angle_gamma 90.00
_symmetry_space_group_name_H-M 'P 4/m m m'
_symmetry_Int_Tables_number 123
_symmetry_space_group_name_Hall '-P 4 2'
loop_
_atom_site_label
_atom_site_fract_x
_atom_site_fract_y
_atom_site_fract_z
Tl1 0.0000 0.0000 0.0000
Ag1 0.5000 0.5000 0.5000
Se1 0.0000 0.0000 0.5000
N1 0.0000 0.5000 0.0000
```

Structures ranked by computed energy, the most stable listed first: (P), (Q).

(P)
Crystalline AgWSeN2 at its relaxed geometry. Source: Alexandria, functional PBE.

* magnetic moment: 0.0 Bohr magnetons per cell

```
data_AgWSeN2
_cell_length_a 3.9023
_cell_length_b 3.9023
_cell_length_c 5.4126
_cell_angle_alpha 90.00
_cell_angle_beta 90.00
_cell_angle_gamma 90.00
_symmetry_space_group_name_H-M 'P 4/m m m'
_symmetry_Int_Tables_number 123
_symmetry_space_group_name_Hall '-P 4 2'
loop_
_atom_site_label
_atom_site_fract_x
_atom_site_fract_y
_atom_site_fract_z
Ag1 0.0000 0.0000 0.0000
W1 0.5000 0.5000 0.5000
Se1 0.5000 0.5000 0.0000
N1 0.0000 0.5000 0.5000
```

(Q)
Crystalline AgWSeN2 at its relaxed geometry. Source: Alexandria, functional PBE.

* magnetic moment: 0.7 Bohr magnetons per cell

```
data_AgWSeN2
_cell_length_a 4.0377
_cell_length_b 4.0377
_cell_length_c 5.2562
_cell_angle_alpha 90.00
_cell_angle_beta 90.00
_cell_angle_gamma 90.00
_symmetry_space_group_name_H-M 'P 4/m m m'
_symmetry_Int_Tables_number 123
_symmetry_space_group_name_Hall '-P 4 2'
loop_
_atom_site_label
_atom_site_fract_x
_atom_site_fract_y
_atom_site_fract_z
Ag1 0.0000 0.0000 0.0000
W1 0.5000 0.5000 0.5000
Se1 0.0000 0.0000 0.5000
N1 0.0000 0.5000 0.0000
```

Structures ranked by computed energy, the most stable listed first: (P), (Q).

(P)
Crystalline YAgSeN2 at its relaxed geometry. Source: Alexandria, functional PBE.

* magnetic moment: 1.6 Bohr magnetons per cell

```
data_YAgSeN2
_cell_length_a 4.1794
_cell_length_b 4.1794
_cell_length_c 5.0108
_cell_angle_alpha 90.00
_cell_angle_beta 90.00
_cell_angle_gamma 90.00
_symmetry_space_group_name_H-M 'P 4/m m m'
_symmetry_Int_Tables_number 123
_symmetry_space_group_name_Hall '-P 4 2'
loop_
_atom_site_label
_atom_site_fract_x
_atom_site_fract_y
_atom_site_fract_z
Y1 0.0000 0.0000 0.0000
Ag1 0.5000 0.5000 0.5000
Se1 0.5000 0.5000 0.0000
N1 0.0000 0.5000 0.5000
```

(Q)
Crystalline YAgSeN2 at its relaxed geometry. Source: Alexandria, functional PBE.

* magnetic moment: 3.9 Bohr magnetons per cell

```
data_YAgSeN2
_cell_length_a 4.4889
_cell_length_b 4.4889
_cell_length_c 5.7259
_cell_angle_alpha 90.00
_cell_angle_beta 90.00
_cell_angle_gamma 90.00
_symmetry_space_group_name_H-M 'P 4/m m m'
_symmetry_Int_Tables_number 123
_symmetry_space_group_name_Hall '-P 4 2'
loop_
_atom_site_label
_atom_site_fract_x
_atom_site_fract_y
_atom_site_fract_z
Y1 0.0000 0.0000 0.0000
Ag1 0.5000 0.5000 0.5000
Se1 0.0000 0.0000 0.5000
N1 0.0000 0.5000 0.0000
```

Structures ranked by computed energy, the most stable listed first: (Q), (P).